SrZrW2 | the Alexandria database | GGA-PBE | optimized geometry; crystal system = tetragonal; total magnetic moment = 0.0 μB per cell; electronic total energy = -8.1513 eV per atom; DFT formation energy = 0.88 eV per atom; DOS at the Fermi energy = 4.3 states/eV per cell
1.0
2.8274 0.0000 0.0000
0.0000 2.8274 0.0000
0.0000 0.0000 10.3909
Sr Zr W
1 1 2
Cartesian
0.0000 0.0000 0.0000 Sr
0.0000 0.0000 5.1954 Zr
1.4137 1.4137 2.8135 W
1.4137 1.4137 7.5774 W